The following is a DFT calculation (PBE) of crystalline Sr2La2Sc at its relaxed geometry.

Lattice parameters (Å, degrees): 9.414 9.414 4.429 90.00 90.00 90.00
Fractional coordinates of all 10 atoms:
Sr  0.177  0.323  0.000
Sr  0.323  0.823  0.000
Sr  0.677  0.177  0.000
Sr  0.823  0.677  0.000
La  0.127  0.627  0.500
La  0.373  0.127  0.500
La  0.627  0.873  0.500
La  0.873  0.373  0.500
Sc  0.000  0.000  0.500
Sc  0.500  0.500  0.500

Summary:
E_form (meV per atom): 436.1
Space group: P4/mbm (127)
Total magnetization (μB/atom): 0.0000
Total DFT energy (no corrections) (eV/f.u.): -17.37
V (Å³/atom): 39.252
D(E_F) (states/eV/atom): 1.686

The following is a DFT calculation (PBE) of crystalline TlNiPb2 at its relaxed geometry.

Lattice parameters (Å, degrees): 7.306 7.306 7.306 153.85 143.48 45.47
Fractional coordinates of all 4 atoms:
Tl  0.000  0.000  0.000
Ni  0.500  0.500  0.000
Pb  0.323  0.823  0.500
Pb  0.677  0.177  0.500

Summary:
E_form (meV per atom): 186.8
Distance to the lowest polymorph of the same formula (meV/atom): 78.8
Space group: Immm (71)
Total magnetization (μB/atom): 0.0000
Total DFT energy (no corrections) (eV/f.u.): -14.82
V (Å³/atom): 25.488
D(E_F) (states/eV/atom): 0.675

The following is a DFT calculation (PBE) of crystalline Rb2Cd2In at its relaxed geometry.

Lattice parameters (Å, degrees): 8.441 8.441 8.441 142.00 142.00 54.82
Fractional coordinates of all 5 atoms:
Rb  0.250  0.750  0.500
Rb  0.750  0.250  0.500
Cd  0.093  0.093  0.000
Cd  0.907  0.907  0.000
In  0.500  0.500  0.000

Summary:
E_form (meV per atom): 264.9
Distance to the lowest polymorph of the same formula (meV/atom): 332.4
Space group: I4/mmm (139)
Total magnetization (μB/atom): 0.0000
Total DFT energy (no corrections) (eV/f.u.): -5.18
V (Å³/atom): 45.267
D(E_F) (states/eV/atom): 1.216

The following is a DFT calculation (PBE) of crystalline Cs2HgTeS4 at its relaxed geometry.

Lattice parameters (Å, degrees): 14.317 12.634 8.177 84.03 61.36 34.61
Fractional coordinates of all 16 atoms:
Cs  0.053  0.053  0.697
Cs  0.303  0.303  0.947
Cs  0.697  0.697  0.053
Cs  0.947  0.947  0.303
Hg  0.125  0.125  0.125
Hg  0.875  0.875  0.875
Te  0.375  0.375  0.375
Te  0.625  0.625  0.625
S  0.025  0.331  0.432
S  0.288  0.568  0.669
S  0.331  0.025  0.712
S  0.432  0.712  0.025
S  0.568  0.288  0.975
S  0.669  0.975  0.288
S  0.712  0.432  0.331
S  0.975  0.669  0.568

Summary:
Space group: Fddd (70)
Total magnetization (μB/atom): 0.0000
Total DFT energy (no corrections) (eV/f.u.): -25.14
V (Å³/atom): 37.460
Raw formation energy (eV/atom): -0.435

The following is a DFT calculation (PBE) of crystalline K2SrIrO4 at its relaxed geometry.

Lattice parameters (Å, degrees): 5.711 5.711 5.711 112.85 112.85 102.90
Fractional coordinates of all 8 atoms:
K  0.000  0.000  0.000
K  0.750  0.250  0.500
Sr  0.250  0.750  0.500
Ir  0.500  0.500  0.000
O  0.281  0.344  0.575
O  0.294  0.719  0.064
O  0.656  0.231  0.936
O  0.769  0.706  0.425

Summary:
Space group: I-4 (82)
Total magnetization (μB/atom): 0.3753
Total DFT energy (no corrections) (eV/f.u.): -44.81
V (Å³/atom): 17.754
Raw formation energy (eV/atom): -1.530

The following is a DFT calculation (PBE) of crystalline CsAl2VBr8 at its relaxed geometry.

Lattice parameters (Å, degrees): 10.991 10.991 10.991 36.36 36.36 36.36
Fractional coordinates of all 12 atoms:
Cs  0.000  0.000  0.000
Al  0.243  0.243  0.243
Al  0.757  0.757  0.757
V  0.500  0.500  0.500
Br  0.114  0.458  0.768
Br  0.232  0.886  0.542
Br  0.319  0.319  0.319
Br  0.458  0.768  0.114
Br  0.542  0.232  0.886
Br  0.681  0.681  0.681
Br  0.768  0.114  0.458
Br  0.886  0.542  0.232

Summary:
Space group: R-3 (148)
Total magnetization (μB/atom): 0.3323
Total DFT energy (no corrections) (eV/f.u.): -42.99
V (Å³/atom): 34.801
Raw formation energy (eV/atom): -1.013
D(E_F) (states/eV/atom): 0.572

The following is a DFT calculation (PBE) of crystalline Dy2NbGeN5 at its relaxed geometry.

Lattice parameters (Å, degrees): 7.052 7.052 10.119 90.00 90.00 153.89
Fractional coordinates of all 18 atoms:
Dy  0.117  0.883  0.500
Dy  0.129  0.871  0.069
Dy  0.871  0.129  0.569
Dy  0.883  0.117  0.000
Nb  0.226  0.774  0.793
Nb  0.774  0.226  0.293
Ge  0.490  0.510  0.263
Ge  0.510  0.490  0.763
N  0.057  0.943  0.839
N  0.286  0.714  0.433
N  0.298  0.702  0.155
N  0.371  0.629  0.797
N  0.499  0.501  0.079
N  0.501  0.499  0.579
N  0.629  0.371  0.297
N  0.702  0.298  0.655
N  0.714  0.286  0.933
N  0.943  0.057  0.339

Summary:
Space group: Cmc2_1 (36)
Total magnetization (μB/atom): 0.0000
Total DFT energy (no corrections) (eV/f.u.): -74.77
V (Å³/atom): 12.304
Raw formation energy (eV/atom): -1.028
D(E_F) (states/eV/atom): 0.003

The following is a DFT calculation (PBE) of crystalline TaNiOs2 at its relaxed geometry.

Lattice parameters (Å, degrees): 4.744 4.744 4.744 132.11 132.11 70.06
Fractional coordinates of all 4 atoms:
Ta  0.000  0.000  0.000
Ni  0.250  0.750  0.500
Os  0.500  0.500  0.000
Os  0.750  0.250  0.500

Summary:
E_form (meV per atom): -133.6
Space group: I-4m2 (119)
Total magnetization (μB/atom): 0.0000
Total DFT energy (no corrections) (eV/f.u.): -40.63
V (Å³/atom): 14.406
D(E_F) (states/eV/atom): 0.623

The following is a DFT calculation (PBE) of crystalline Ag2Os2Pb at its relaxed geometry.

Lattice parameters (Å, degrees): 6.858 6.858 6.858 146.32 146.32 48.38
Fractional coordinates of all 5 atoms:
Ag  0.250  0.750  0.500
Ag  0.750  0.250  0.500
Os  0.093  0.093  0.000
Os  0.907  0.907  0.000
Pb  0.500  0.500  0.000

Summary:
E_form (meV per atom): 1104.1
Space group: I4/mmm (139)
Total magnetization (μB/atom): 0.0003
Total DFT energy (no corrections) (eV/f.u.): -26.35
V (Å³/atom): 19.756
D(E_F) (states/eV/atom): 1.149

The following is a DFT calculation (PBE) of crystalline La2CrW at its relaxed geometry.

Lattice parameters (Å, degrees): 3.660 3.701 7.296 90.00 90.08 90.00
Fractional coordinates of all 4 atoms:
La  0.001  0.000  0.257
La  0.999  0.000  0.743
Cr  0.500  0.500  0.000
W  0.500  0.500  0.500

Summary:
E_form (meV per atom): 757.0
Distance to the lowest polymorph of the same formula (meV/atom): 360.5
Space group: P2/m (10)
Total magnetization (μB/atom): 1.1344
Total DFT energy (no corrections) (eV/f.u.): -29.40
V (Å³/atom): 24.710
D(E_F) (states/eV/atom): 1.297

The following is a DFT calculation (PBE) of crystalline BaHfPt3 at its relaxed geometry.

Lattice parameters (Å, degrees): 5.098 5.098 5.098 90.00 90.00 90.00
Fractional coordinates of all 5 atoms:
Ba  0.000  0.000  0.000
Hf  0.500  0.500  0.500
Pt  0.000  0.500  0.500
Pt  0.500  0.000  0.500
Pt  0.500  0.500  0.000

Summary:
E_form (meV per atom): -373.2
Distance to the lowest polymorph of the same formula (meV/atom): 0.0
Space group: Pm-3m (221)
Total magnetization (μB/atom): 0.0000
Total DFT energy (no corrections) (eV/f.u.): -31.86
V (Å³/atom): 26.492
D(E_F) (states/eV/atom): 0.410

The following is a DFT calculation (PBE) of crystalline Zn2HgTe at its relaxed geometry.

Lattice parameters (Å, degrees): 4.162 4.162 6.697 108.00 108.00 59.31
Fractional coordinates of all 4 atoms:
Zn  0.249  0.249  0.247
Zn  0.751  0.751  0.753
Hg  0.500  0.500  0.000
Te  0.000  0.000  0.500

Summary:
Distance to the lowest polymorph of the same formula (meV/atom): 6.2
Space group: C2/m (12)
Total magnetization (μB/atom): 0.0000
Total DFT energy (no corrections) (eV/f.u.): -6.06
V (Å³/atom): 23.309
Raw formation energy (eV/atom): -0.017
D(E_F) (states/eV/atom): 0.300

> What is the formula in the seventh record?

Dy2NbGeN5